Computed, not measured: a geometry-optimized NaAc2NdTe4 structure at the PBE level of DFT.

It has space group P2/m (No. 10), with a = 7.933 Å, b = 4.643 Å, c = 8.140 Å, α = 90.00°, β = 109.53° and γ = 90.00°. The inequivalent atoms are Na at (0.000, 0.000, 0.000), Ac at (0.500, 0.000, 0.500), Ac at (0.500, 0.500, 0.000), Nd at (0.000, 0.500, 0.500), Te at (0.235, 0.000, 0.747) and Te at (0.237, 0.500, 0.246).

The calculation puts the uncorrected formation energy at -1424 meV per atom. The value obtained for the total DFT energy (no corrections) is -0.3515 Ry per atom. The crystal system is monoclinic.